The following is a PBE+U calculation of an optimized crystal structure of Hf2V2F, from the Alexandria database.

a b c (Å): 3.4344 3.4344 15.4196
angles (deg): 90.00 90.00 90.00
Last column: nearest neighbours and their distance in Å.
Space group I4/mmm (No. 139)
Unique sites:
Hf (0.0000, 0.0000, 0.1070) x4  4 V 2.79, 4 F 2.94
V (0.0000, 0.5000, 0.2500) x4  4 V 2.43
F (0.0000, 0.0000, 0.5000) x2  8 Hf 2.94

Properties
The volume is 182 Å³/cell. The value obtained for the density of states at the Fermi level is 9.9 states/eV/cell. The polymorph energy (0 for the lowest one) comes out at 547.8 meV per atom. The calculation puts the total moment at 0.0 μB per cell. For the calculated total energy, the calculation gives -6.709 eV/atom.

=====

The following is a PBE+U calculation of an optimized crystal structure of HfVF2, from the Alexandria database.

a b c (Å): 2.9819 2.9819 23.3456
angles (deg): 90.00 90.00 120.00
Last column: nearest neighbours and their distance in Å.
Space group R-3m (No. 166, hexagonal axes)
Unique sites:
Hf (0.0000, 0.0000, 0.0000) x3  6 F 2.35
V (0.0000, 0.0000, 0.5000) x3  2 F 2.29
F (0.0000, 0.0000, 0.4021) x6  1 V 2.29, 3 Hf 2.35

Properties
The volume is 180 Å³/cell. The value obtained for the density of states at the Fermi level is 4.2 states/eV/cell. The polymorph energy (0 for the lowest one) comes out at 0.0 meV per atom. The calculation puts the total moment at 10.6 μB per cell. For the calculated total energy, the calculation gives -6.671 eV/atom.

=====

The following is a PBE+U calculation of an optimized crystal structure of Hf3VF, from the Alexandria database.

a b c (Å): 4.5055 4.5055 4.5055
angles (deg): 90.00 90.00 90.00
Last column: nearest neighbours and their distance in Å.
Space group Pm-3m (No. 221)
Unique sites:
Hf (0.0000, 0.0000, 0.5000) x3  2 F 2.25
V (0.5000, 0.5000, 0.5000) x1  12 Hf 3.19
F (0.0000, 0.0000, 0.0000) x1  6 Hf 2.25

Properties
The volume is 91 Å³/cell. The value obtained for the density of states at the Fermi level is 4.5 states/eV/cell. The polymorph energy (0 for the lowest one) comes out at 0.0 meV per atom. The calculation puts the total moment at 1.5 μB per cell. For the calculated total energy, the calculation gives -7.935 eV/atom.

=====

The following is a PBE+U calculation of an optimized crystal structure of Hf2V2F, from the Alexandria database.

a b c (Å): 6.1539 6.1539 5.0267
angles (deg): 90.00 90.00 90.00
Last column: nearest neighbours and their distance in Å.
Space group P4/mbm (No. 127)
Unique sites:
Hf (0.1637, 0.3363, 0.0000) x4  2 F 2.30
V (0.1542, 0.6542, 0.5000) x4  1 V 2.68, 2 Hf 2.97
F (0.0000, 0.0000, 0.0000) x2  4 Hf 2.30

Properties
The volume is 190 Å³/cell. The value obtained for the density of states at the Fermi level is 6.2 states/eV/cell. The polymorph energy (0 for the lowest one) comes out at 0.0 meV per atom. The calculation puts the total moment at 13.7 μB per cell. For the calculated total energy, the calculation gives -7.256 eV/atom.

=====

The following is a PBE+U calculation of an optimized crystal structure of Hf2VF, from the Alexandria database.

a b c (Å): 6.6586 6.6586 6.6586
angles (deg): 90.00 90.00 90.00
Last column: nearest neighbours and their distance in Å.
Space group Fm-3m (No. 225)
Unique sites:
Hf (0.2500, 0.2500, 0.2500) x8  4 F 2.88, 4 V 2.88
V (0.0000, 0.0000, 0.0000) x4  8 Hf 2.88
F (0.0000, 0.0000, 0.5000) x4  8 Hf 2.88

Properties
The volume is 295 Å³/cell. The value obtained for the density of states at the Fermi level is 17.1 states/eV/cell. The polymorph energy (0 for the lowest one) comes out at 440.0 meV per atom. The calculation puts the total moment at 15.0 μB per cell. For the calculated total energy, the calculation gives -7.087 eV/atom.

=====

The following is a PBE+U calculation of an optimized crystal structure of Hf2VF, from the Alexandria database.

a b c (Å): 6.9046 6.9046 6.1107
angles (deg): 90.00 90.00 90.00
Last column: nearest neighbours and their distance in Å.
Space group I-42d (No. 122)
Unique sites:
Hf (0.1717, 0.2500, 0.1250) x8  2 F 2.23
V (0.0000, 0.0000, 0.5000) x4  8 Hf 2.95-3.10, 2 F 3.06
F (0.0000, 0.0000, 0.0000) x4  4 Hf 2.23

Properties
The volume is 291 Å³/cell. The value obtained for the density of states at the Fermi level is 12.6 states/eV/cell. The polymorph energy (0 for the lowest one) comes out at 0.0 meV per atom. The calculation puts the total moment at 11.7 μB per cell. For the calculated total energy, the calculation gives -7.527 eV/atom.